Compound: LiSbTe2Br
Source: the Alexandria database
Functional: PBE-GGA
Structure: relaxed

Cell: 5.810 5.810 5.532 Å, 90.00 90.00 90.00°
Each line ends with the local moment (μB).
Positions (direct):
Sb  0.000  0.000  0.500  0.41
Te  0.000  0.500  0.000  0.15
Te  0.500  0.000  0.000  0.15
Br  0.000  0.000  0.000  0.08
Li  0.500  0.500  0.500  0.00

Output
Fermi-level density of states	5.2	states/eV per cell
energy relative to the elements, uncorrected	0.543	eV/atom
M_tot	1.681	Bohr magnetons per cell
DFT total energy	-2.256	eV/atom

=====

Compound: LiSb2TeBr
Source: the Alexandria database
Functional: PBE-GGA
Structure: relaxed

Cell: 5.534 5.534 5.916 Å, 90.00 90.00 90.00°
Positions (direct):
Sb  0.000  0.500  0.000
Sb  0.500  0.000  0.000
Te  0.000  0.000  0.500
Br  0.000  0.000  0.000
Li  0.500  0.500  0.500

Output
Fermi-level density of states	7.2	states/eV per cell
energy relative to the elements, uncorrected	0.619	eV/atom
M_tot	0.001	Bohr magnetons per cell
DFT total energy	-2.375	eV/atom

=====

Compound: LiSbTe2Br
Source: the Alexandria database
Functional: PBE-GGA
Structure: relaxed

Cell: 4.932 4.932 5.635 Å, 90.00 90.00 90.00°
Positions (direct):
Sb  0.000  0.000  0.500
Te  0.000  0.500  0.000
Te  0.500  0.000  0.000
Br  0.500  0.500  0.500
Li  0.000  0.000  0.000

Output
Fermi-level density of states	3.6	states/eV per cell
energy relative to the elements, uncorrected	0.194	eV/atom
M_tot	0.000	Bohr magnetons per cell
DFT total energy	-2.604	eV/atom

=====

Compound: LiSb2TeBr
Source: the Alexandria database
Functional: PBE-GGA
Structure: relaxed

Cell: 5.218 5.218 4.922 Å, 90.00 90.00 90.00°
Positions (direct):
Sb  0.000  0.500  0.000
Sb  0.500  0.000  0.000
Te  0.000  0.000  0.500
Br  0.500  0.500  0.500
Li  0.000  0.000  0.000

Output
Fermi-level density of states	5.0	states/eV per cell
energy relative to the elements, uncorrected	0.249	eV/atom
M_tot	0.000	Bohr magnetons per cell
DFT total energy	-2.746	eV/atom